1.
Density functional theory data (PBE-GGA) for an optimized crystal structure of TiAlZnGa.

Values from the calculation:
Energy of formation (eV/atom): -0.3826
Symmetry: Pmmm, No. 47
Magnetic moment (μB/f.u.): 0.000

Unit cell a=3.944 b=3.982 c=3.884 alpha=90.00 beta=90.00 gamma=90.00
Fractional positions:
1 Al 0.000 0.500 0.500
2 Zn 0.500 0.500 0.000
3 Ti 0.000 0.000 0.000
4 Ga 0.500 0.000 0.500

2.
Density functional theory data (PBE-GGA) for an optimized crystal structure of Na2NpHgS4.

Values from the calculation:
Symmetry: P2/m, No. 10
Magnetic moment (μB/f.u.): 3.000
Energy relative to the elements, uncorrected (kJ per mole of atoms): -91.61

Unit cell a=3.973 b=7.000 c=7.152 alpha=111.74 beta=90.00 gamma=90.00
Fractional positions:
1 Hg 0.000 0.000 0.000
2 Np 0.500 0.500 0.000
3 S 0.500 0.753 0.788
4 S 0.000 0.282 0.760
5 S 0.500 0.247 0.212
6 S 0.000 0.718 0.240
7 Na 0.500 0.000 0.500
8 Na 0.000 0.500 0.500

3.
Density functional theory data (PBE-GGA) for an optimized crystal structure of LiPrGa2Pt.

Values from the calculation:
Energy of formation (eV/atom): -0.6888
Symmetry: I-4m2, No. 119
Magnetic moment (μB/f.u.): 0.000

Unit cell a=4.372 b=4.372 c=5.963 alpha=111.50 beta=111.50 gamma=90.00
Fractional positions:
1 Li 0.750 0.250 0.500
2 Pt 0.250 0.750 0.500
3 Pr 0.000 0.000 0.000
4 Ga 0.624 0.624 0.248
5 Ga 0.376 0.376 0.752

4.
Density functional theory data (PBE-GGA) for an optimized crystal structure of La2Zn12Ag5.

Values from the calculation:
Energy of formation (eV/atom): -0.2026
Symmetry: R-3m, No. 166
Magnetic moment (μB/f.u.): 0.000

Unit cell a=7.050 b=7.050 c=7.050 alpha=82.79 beta=82.79 gamma=82.79
Fractional positions:
1 Zn 0.351 0.351 0.834
2 Zn 0.705 0.295 0.000
3 Zn 0.166 0.649 0.649
4 Zn 0.649 0.166 0.649
5 Zn 0.649 0.649 0.166
6 Zn 0.295 0.705 0.000
7 Zn 0.351 0.834 0.351
8 Zn 0.000 0.295 0.705
9 Zn 0.000 0.705 0.295
10 Zn 0.295 0.000 0.705
11 Zn 0.705 0.000 0.295
12 Zn 0.834 0.351 0.351
13 La 0.659 0.659 0.659
14 La 0.341 0.341 0.341
15 Ag 0.102 0.102 0.102
16 Ag 0.500 0.000 0.000
17 Ag 0.898 0.898 0.898
18 Ag 0.000 0.000 0.500
19 Ag 0.000 0.500 0.000

5.
Density functional theory data (PBE-GGA) for an optimized crystal structure of Tl2ZnIn2.

Values from the calculation:
Energy of formation (eV/atom): 0.1799
Symmetry: P4/mbm, No. 127
Relative energy among the computed polymorphs (meV/atom): 110
Magnetic moment (μB/f.u.): 0.000

Unit cell a=7.683 b=7.683 c=4.817 alpha=90.00 beta=90.00 gamma=90.00
Fractional positions:
1 Tl 0.154 0.346 0.000
2 Tl 0.654 0.154 0.000
3 Tl 0.846 0.654 0.000
4 Tl 0.346 0.846 0.000
5 In 0.153 0.653 0.500
6 In 0.847 0.347 0.500
7 In 0.347 0.153 0.500
8 In 0.653 0.847 0.500
9 Zn 0.500 0.500 0.000
10 Zn 0.000 0.000 0.000

6.
Density functional theory data (PBE-GGA) for an optimized crystal structure of Ta2ReRh.

Values from the calculation:
Energy of formation (eV/atom): -0.1605
Symmetry: Cm, No. 8
Magnetic moment (μB/f.u.): 0.000

Unit cell a=5.069 b=5.069 c=4.866 alpha=80.81 beta=80.81 gamma=32.35
Fractional positions:
1 Rh 0.761 0.761 0.772
2 Ta 0.012 0.012 0.965
3 Ta 0.240 0.240 0.284
4 Re 0.487 0.487 0.478

7.
Density functional theory data (PBE-GGA) for an optimized crystal structure of LaInP.

Values from the calculation:
Energy of formation (eV/atom): -0.8854
Symmetry: R-3m, No. 166
Magnetic moment (μB/f.u.): 0.000

Unit cell a=4.994 b=4.994 c=8.673 alpha=73.27 beta=73.27 gamma=60.00
Fractional positions:
1 In 0.176 0.176 0.473
2 In 0.824 0.824 0.527
3 P 0.283 0.283 0.150
4 P 0.717 0.717 0.850
5 La 0.601 0.601 0.198
6 La 0.399 0.399 0.802

8.
Density functional theory data (PBE-GGA) for an optimized crystal structure of LaCePr2Tl4.

Values from the calculation:
Energy of formation (eV/atom): -0.3495
Symmetry: R-3m, No. 166
Magnetic moment (μB/f.u.): 1.058

Unit cell a=5.576 b=5.576 c=9.657 alpha=73.22 beta=73.22 gamma=60.00
Fractional positions:
1 Ce 0.500 0.500 0.500
2 Tl 0.624 0.624 0.128
3 Tl 0.126 0.126 0.622
4 Tl 0.874 0.874 0.378
5 Tl 0.376 0.376 0.872
6 Pr 0.250 0.250 0.250
7 Pr 0.750 0.750 0.750
8 La 0.000 0.000 0.000

Q: Which of these has the highest magnetic moment?
A: Na2NpHgS4

Q: What is the formula in the seventh record?
A: LaInP